## InCBr (PBE)

Data for an optimized crystal structure of InCBr.

It has space group P1 (No. 1), with a = 3.999 Å, b = 6.633 Å, c = 8.310 Å, α = 67.40°, β = 89.38° and γ = 89.94°. Symmetry generates all atoms from In at (0.000, 0.000, 0.000), In at (0.500, 0.487, 0.015), C at (0.494, 0.692, 0.316), C at (0.496, 0.754, 0.153), Br at (0.492, 0.609, 0.549) and Br at (0.994, 0.211, 0.265).

For the density of states at the Fermi level, the calculation gives 0.00 states/eV/f.u. The formation energy without anion corrections is 0.396 eV/atom. The value obtained for the theoretical density is 3.4 g/cm3.

## Ho5Al2Hg2 (PBE)

Data for an optimized crystal structure of Ho5Al2Hg2.

It has space group Cmce (No. 64), with a = 16.192 Å, b = 7.713 Å, c = 7.632 Å, α = 90.00°, β = 90.00° and γ = 90.00°. Symmetry generates all atoms from Ho at (0.000, 0.000, 0.000), Ho at (0.134, 0.183, 0.326), Al at (0.000, 0.120, 0.620) and Hg at (0.215, 0.000, 0.000).

For the density of states at the Fermi level, the calculation gives 7.38 states/eV/f.u. For the formation energy, the calculation gives -380 meV per atom. The value obtained for the theoretical density is 8.9 g/cm3.

## Tm2Ge2Au (PBE)

Data for an optimized crystal structure of Tm2Ge2Au.

It has space group P4/mbm (No. 127), with a = 7.022 Å, b = 7.022 Å, c = 4.224 Å, α = 90.00°, β = 90.00° and γ = 90.00°. Symmetry generates all atoms from Tm at (0.175, 0.325, 0.000), Ge at (0.128, 0.628, 0.500) and Au at (0.000, 0.000, 0.500).

For the density of states at the Fermi level, the calculation gives 2.54 states/eV/f.u. For the formation energy, the calculation gives -789 meV per atom. The value obtained for the theoretical density is 10.8 g/cm3.

How do the records compare in total moment? In the order shown, they have 0.0000, 0.0000, 0.0000 μB per atom.